Density functional theory data (GGA+U) for a geometry-optimized Pm2MnTlO5 structure.

Summary:
- Space group: P4/mbm (127)
- Total DFT energy (no corrections): -130.48 eV/cell

Unit cell a=5.838 b=6.782 c=6.782 alpha=90.00 beta=90.00 gamma=90.00
Element x y z (fractional)
1 Tl 0.000 0.500 0.500
2 Tl 0.000 0.000 0.000
3 Mn 0.000 0.500 0.000
4 Mn 0.000 0.000 0.500
5 O 0.247 0.632 0.868
6 O 0.247 0.368 0.132
7 O 0.753 0.132 0.632
8 O 0.753 0.632 0.868
9 O 0.500 0.000 0.000
10 O 0.753 0.868 0.368
11 O 0.500 0.500 0.500
12 O 0.247 0.132 0.632
13 O 0.247 0.868 0.368
14 O 0.753 0.368 0.132
15 Pm 0.500 0.179 0.321
16 Pm 0.500 0.321 0.821
17 Pm 0.500 0.679 0.179
18 Pm 0.500 0.821 0.679